Density functional theory data (GGA+U) for an optimized crystal structure of Mg6AlVO8.

Summary:
The energy is -6.180 eV per atom. The total moment comes out at 3.8 μB per formula unit. For the distance to the lowest polymorph of the same formula, the calculation gives 0.000 eV/atom.

a = 4.2449 Å, b = 4.2449 Å, c = 8.8782 Å
α = 90.00°, β = 90.00°, γ = 90.00°
With the nearest neighbours (Å) after each atom.
Fractional coordinates of all 16 atoms:
Mg  0.0000  0.0000  0.0000  6 O 2.12-2.24
Mg  0.0000  0.0000  0.5000  6 O 2.12-2.19
Mg  0.0000  0.5000  0.2486  6 O 2.12-2.23
Mg  0.0000  0.5000  0.7514  6 O 2.12-2.23
Mg  0.5000  0.0000  0.2486  6 O 2.12-2.23
Mg  0.5000  0.0000  0.7514  6 O 2.12-2.23
Al  0.5000  0.5000  0.5000  2 O 1.82
V  0.5000  0.5000  0.0000  4 O 2.12
O  0.0000  0.0000  0.2528  6 Mg 2.12-2.24
O  0.0000  0.0000  0.7472  6 Mg 2.12-2.24
O  0.0000  0.5000  0.0000  2 V 2.12, 4 Mg 2.12-2.21
O  0.0000  0.5000  0.5000  2 Al 2.12, 4 Mg 2.12-2.23
O  0.5000  0.0000  0.0000  2 V 2.12, 4 Mg 2.12-2.21
O  0.5000  0.0000  0.5000  2 Al 2.12, 4 Mg 2.12-2.23
O  0.5000  0.5000  0.2950  1 Al 1.82
O  0.5000  0.5000  0.7050  1 Al 1.82

Density functional theory data (GGA+U) for an optimized crystal structure of MgAl4VO8.

Summary:
The energy is -7.296 eV per atom. The total moment comes out at 3.0 μB per formula unit.

a = 5.8566 Å, b = 5.8566 Å, c = 5.8566 Å
α = 59.05°, β = 59.05°, γ = 59.05°
With the nearest neighbours (Å) after each atom.
Fractional coordinates of all 14 atoms:
Mg  0.0000  0.0000  0.0000  4 O 1.94-1.99
Al  0.1117  0.6257  0.6257  6 O 1.87-2.06
Al  0.2408  0.2408  0.2408  4 O 1.83-1.93
Al  0.6257  0.1117  0.6257  6 O 1.87-2.06
Al  0.6257  0.6257  0.1117  6 O 1.87-2.06
V  0.6225  0.6225  0.6225  6 O 2.08-2.13
O  0.3649  0.3649  0.8529  3 Al 1.83-1.98
O  0.3649  0.8529  0.3649  3 Al 1.83-1.98
O  0.3746  0.3746  0.3746  4 Al 1.93-2.06
O  0.4098  0.8735  0.8735  2 Al 1.87, 1 Mg 1.94, 1 V 2.08
O  0.8529  0.3649  0.3649  3 Al 1.83-1.98
O  0.8623  0.8623  0.8623  3 Al 1.95, 1 Mg 1.99
O  0.8735  0.4098  0.8735  2 Al 1.87, 1 Mg 1.94, 1 V 2.08
O  0.8735  0.8735  0.4098  2 Al 1.87, 1 Mg 1.94, 1 V 2.08

Density functional theory data (GGA+U) for an optimized crystal structure of MgAl2VO6.

Summary:
The energy is -7.251 eV per atom. The total moment comes out at 1.0 μB per formula unit.

a = 4.9083 Å, b = 4.9758 Å, c = 5.2892 Å
α = 62.02°, β = 89.63°, γ = 60.69°
With the nearest neighbours (Å) after each atom.
Fractional coordinates of all 10 atoms:
Mg  0.0000  0.0000  0.0000  6 O 2.01-2.23
Al  0.2938  0.4207  0.8657  6 O 1.88-2.01
Al  0.7869  0.4328  0.3656  5 O 1.86-1.99
V  0.4939  0.0129  0.4741  6 O 1.85-2.04
O  0.0817  0.5025  0.1650  2 Al 1.86-1.98, 1 Mg 2.01, 1 V 2.04
O  0.2086  0.9061  0.6597  1 V 1.85, 1 Al 1.93
O  0.4264  0.9121  0.1656  2 Al 1.86-1.99, 1 V 1.99, 1 Mg 2.03
O  0.5801  0.2436  0.6601  2 Al 1.90-1.97, 1 V 2.00, 1 Mg 2.12
O  0.6719  0.2546  0.1720  2 Al 1.87-2.01, 1 V 1.99, 1 Mg 2.02
O  0.9084  0.5376  0.6518  2 Al 1.88-1.99, 1 V 1.96

- What is the total moment in the second record?
  3.0 μB per formula unit

- The lowest energy belongs to which entry?
  MgAl4VO8

- What is the formula in the first record?
  Mg6AlVO8